First-principles (PBE) data for an optimized crystal structure of CaDyF6, as listed in Alexandria via LeMat-Bulk.

a = 5.449 Å, b = 5.449 Å, c = 7.945 Å
α = 90.00°, β = 90.00°, γ = 90.00°
Positions (direct):
Ca 0.000 0.000 0.000
Ca 0.000 0.000 0.500
F 0.680 0.669 0.000
F 0.763 0.213 0.177
F 0.213 0.237 0.323
F 0.787 0.763 0.323
F 0.237 0.787 0.177
F 0.320 0.331 0.000
F 0.787 0.763 0.677
F 0.331 0.680 0.500
F 0.669 0.320 0.500
F 0.763 0.213 0.823
F 0.237 0.787 0.823
F 0.213 0.237 0.677
Dy 0.500 0.500 0.750
Dy 0.500 0.500 0.250

E_form (uncorrected) in eV per atom: -3.4552
Electronic total energy in eV/atom: -5.68

First-principles (PBE) data for an optimized crystal structure of Ca2DyF, as listed in Alexandria via LeMat-Bulk.

a = 3.576 Å, b = 3.576 Å, c = 10.184 Å
α = 79.89°, β = 79.89°, γ = 60.00°
Positions (direct):
F 0.500 0.500 0.500
Ca 0.113 0.113 0.660
Ca 0.887 0.887 0.340
Dy 0.000 0.000 0.000

E_form (uncorrected) in eV per atom: -0.9973
Electronic total energy in eV/atom: -3.62